Below is a geometry-optimized PmErMg3 structure, with properties calculated at the PBE level.

Geometry as POSCAR:
```
PmErMg3
1.0
-5.582 -2.754 3.722
-2.424 -6.377 -2.459
1.663 -5.686 4.182
Er Mg Pm
2 6 2
direct
0.907 0.907 0.907 Er
0.093 0.093 0.093 Er
0.762 0.972 0.522 Mg
0.522 0.762 0.972 Mg
0.238 0.028 0.478 Mg
0.028 0.478 0.238 Mg
0.478 0.238 0.028 Mg
0.972 0.522 0.762 Mg
0.594 0.594 0.594 Pm
0.406 0.406 0.406 Pm
```

Properties
Electronic total energy   -2.4440 eV per atom
Total magnetization   0.00 μB/atom
Theoretical density   4.25 g cm⁻³

---

Below is a geometry-optimized Sm4DyHo structure, with properties calculated at the PBE level.

Geometry as POSCAR:
```
Sm4DyHo
1.0
3.592 -0.009 -0.013
-1.776 7.647 -5.369
-0.022 -5.125 10.787
Sm Dy Ho
4 1 1
direct
0.166 0.334 0.501 Sm
0.833 0.666 0.499 Sm
0.333 0.665 0.999 Sm
0.667 0.335 0.001 Sm
0.000 0.000 0.000 Dy
0.500 0.000 0.500 Ho
```

Properties
Electronic total energy   -4.6601 eV per atom
Total magnetization   0.00 μB/atom
Theoretical density   7.82 g cm⁻³

---

Below is a geometry-optimized PmAlZn structure, with properties calculated at the PBE level.

Geometry as POSCAR:
```
PmAlZn
1.0
-0.592 3.160 3.214
1.396 -4.172 1.144
14.167 4.297 -1.613
Pm Al Zn
4 4 4
direct
0.000 0.000 0.750 Pm
0.000 0.000 0.250 Pm
0.000 0.000 0.500 Pm
0.000 0.000 0.000 Pm
0.667 0.333 0.625 Al
0.333 0.667 0.125 Al
0.667 0.333 0.875 Al
0.333 0.667 0.375 Al
0.333 0.667 0.883 Zn
0.667 0.333 0.383 Zn
0.333 0.667 0.617 Zn
0.667 0.333 0.117 Zn
```

Properties
Electronic total energy   -3.6928 eV per atom
Total magnetization   0.00 μB/atom
Theoretical density   5.92 g cm⁻³

---

Below is a geometry-optimized Ac5Pr2Er2 structure, with properties calculated at the PBE level.

Geometry as POSCAR:
```
Ac5Pr2Er2
1.0
-1.348 1.367 -6.288
8.468 -3.201 -2.526
-7.625 -3.366 2.080
Pr Ac Er
2 5 2
direct
0.556 0.222 0.330 Pr
0.444 0.778 0.670 Pr
0.880 0.553 0.327 Ac
0.120 0.447 0.673 Ac
0.774 0.118 0.669 Ac
0.000 0.000 0.000 Ac
0.226 0.882 0.331 Ac
0.663 0.667 0.996 Er
0.337 0.333 0.004 Er
```

Properties
Electronic total energy   -4.3087 eV per atom
Total magnetization   0.00 μB/atom
Theoretical density   8.18 g cm⁻³

---

Below is a geometry-optimized Bi3H2Au2 structure, with properties calculated at the PBE level.

Geometry as POSCAR:
```
Bi3H2Au2
1.0
-1.700 3.037 -0.320
3.857 -4.983 -10.053
-5.949 -0.204 10.132
Bi H Au
3 2 2
direct
0.000 0.000 0.000 Bi
0.038 0.856 0.504 Bi
0.962 0.144 0.496 Bi
0.500 0.308 0.930 H
0.500 0.692 0.070 H
0.216 0.648 0.514 Au
0.784 0.352 0.486 Au
```

Properties
Electronic total energy   -3.3851 eV per atom
Total magnetization   0.00 μB/atom
Theoretical density   10.48 g cm⁻³

---

Below is a geometry-optimized InP4 structure, with properties calculated at the PBE level.

Geometry as POSCAR:
```
InP4
1.0
3.608 4.852 -0.645
-1.377 4.942 3.264
0.717 -5.946 1.052
P In
4 1
direct
0.250 0.750 0.500 P
0.683 0.683 0.000 P
0.317 0.317 0.000 P
0.750 0.250 0.500 P
0.000 0.000 0.000 In
```

Properties
Electronic total energy   -4.6094 eV per atom
Total magnetization   0.00 μB/atom
Theoretical density   3.80 g cm⁻³

---

Below is a geometry-optimized TbPr2Cd2 structure, with properties calculated at the PBE level.

Geometry as POSCAR:
```
TbPr2Cd2
1.0
3.762 0.000 -0.504
0.000 5.447 0.000
0.019 0.000 14.428
Pr Cd Tb
4 4 2
direct
0.044 0.750 0.087 Pr
0.767 0.250 0.532 Pr
0.233 0.750 0.468 Pr
0.956 0.250 0.913 Pr
0.638 0.750 0.277 Cd
0.362 0.250 0.723 Cd
0.558 0.250 0.115 Cd
0.442 0.750 0.885 Cd
0.150 0.250 0.298 Tb
0.850 0.750 0.702 Tb
```

Properties
Electronic total energy   -3.4485 eV per atom
Total magnetization   0.03 μB/atom
Theoretical density   7.47 g cm⁻³

---

Below is a geometry-optimized LiTlFe structure, with properties calculated at the PBE level.

Geometry as POSCAR:
```
LiTlFe
1.0
5.322 0.018 -0.021
4.326 3.099 -0.035
0.996 0.336 3.062
Tl Fe Li
1 1 1
direct
0.328 0.328 0.672 Tl
0.013 0.013 0.987 Fe
0.659 0.659 0.341 Li
```

Properties
Electronic total energy   -3.8798 eV per atom
Total magnetization   0.89 μB/atom
Theoretical density   8.81 g cm⁻³

---

Below is a geometry-optimized Pm2MgPaN4 structure, with properties calculated at the PBE level.

Geometry as POSCAR:
```
Pm2MgPaN4
1.0
3.558 0.000 0.000
0.000 5.881 0.126
0.000 -2.034 5.734
N Pm Pa Mg
4 2 1 1
direct
0.500 0.238 0.227 N
0.000 0.763 0.231 N
0.500 0.762 0.773 N
0.000 0.237 0.769 N
0.500 0.000 0.500 Pm
0.000 0.500 0.500 Pm
0.000 0.000 0.000 Pa
0.500 0.500 0.000 Mg
```

Properties
Total magnetization   0.00 μB/atom
Uncorrected formation energy   -1331 meV/atom
Theoretical density   8.26 g cm⁻³

---

Below is a geometry-optimized Cs3KZn2H8 structure, with properties calculated at the PBE level.

Geometry as POSCAR:
```
Cs3KZn2H8
1.0
6.336 0.000 0.000
-3.168 5.487 0.000
0.000 0.000 8.374
K H Zn Cs
1 8 2 3
direct
0.000 0.000 0.500 K
0.381 0.191 0.689 H
0.809 0.619 0.689 H
0.191 0.381 0.311 H
0.333 0.667 0.043 H
0.809 0.191 0.689 H
0.191 0.809 0.311 H
0.619 0.809 0.311 H
0.667 0.333 0.957 H
0.667 0.333 0.761 Zn
0.333 0.667 0.239 Zn
0.000 0.000 0.000 Cs
0.333 0.667 0.691 Cs
0.667 0.333 0.309 Cs
```

Properties
Electronic total energy   -2.6019 eV per atom
Total magnetization   0.00 μB/atom
Theoretical density   3.29 g cm⁻³

---

Below is a geometry-optimized HfSiNi3 structure, with properties calculated at the PBE level.

Geometry as POSCAR:
```
HfSiNi3
1.0
-2.947 3.078 1.794
-1.182 -3.042 3.276
7.481 2.607 1.857
Hf Ni Si
2 6 2
direct
0.884 0.384 0.768 Hf
0.616 0.116 0.232 Hf
0.717 0.717 0.434 Ni
0.283 0.283 0.566 Ni
0.134 0.877 0.754 Ni
0.123 0.380 0.246 Ni
0.123 0.866 0.246 Ni
0.620 0.877 0.754 Ni
0.000 0.000 0.000 Si
0.250 0.750 0.500 Si
```

Properties
Total magnetization   0.00 μB/atom
Uncorrected formation energy   -130 meV/atom
Theoretical density   7.98 g cm⁻³

---

Below is a geometry-optimized VTcIr4 structure, with properties calculated at the PBE level.

Geometry as POSCAR:
```
VTcIr4
1.0
-4.590 -3.031 -2.073
0.779 -4.011 4.136
-3.547 2.954 3.534
Ir Tc V
8 2 2
direct
0.243 0.000 0.500 Ir
0.757 0.000 0.500 Ir
0.757 0.000 0.000 Ir
0.243 0.000 0.000 Ir
0.243 0.500 0.500 Ir
0.757 0.500 0.000 Ir
0.757 0.500 0.500 Ir
0.243 0.500 0.000 Ir
0.500 0.750 0.750 Tc
0.500 0.250 0.250 Tc
0.000 0.750 0.250 V
0.000 0.250 0.750 V
```

Properties
Electronic total energy   -9.0671 eV per atom
Total magnetization   0.00 μB/atom
Theoretical density   15.34 g cm⁻³